A geometry-optimized HfNiTe structure. Source: OQMD, functional PBE-GGA. Values from VASP.

Quantum ESPRESSO input file:
```
&SYSTEM
  ibrav = 0, nat = 3, ntyp = 3
/
ATOMIC_SPECIES
Hf 178.49 Hf.upf
Te 127.60 Te.upf
Ni 58.69 Ni.upf
CELL_PARAMETERS angstrom
0.0000 3.0912 3.0912
3.0912 0.0000 3.0912
3.0912 3.0912 0.0000
ATOMIC_POSITIONS crystal
Hf 0.2500 0.2500 0.2500
Te 0.7500 0.7500 0.7500
Ni 0.0000 0.0000 0.0000
```

## Properties
Total moment, μB/cell: 0.00
E_tot, eV per atom: -6.416

A geometry-optimized HfNiTe2 structure. Source: OQMD, functional PBE-GGA. Values from VASP.

Quantum ESPRESSO input file:
```
&SYSTEM
  ibrav = 0, nat = 16, ntyp = 3
/
ATOMIC_SPECIES
Ni 58.69 Ni.upf
Hf 178.49 Hf.upf
Te 127.60 Te.upf
CELL_PARAMETERS angstrom
-0.9004 -8.1107 3.0296
1.9841 -2.4183 -5.8843
7.1415 3.5310 0.9569
ATOMIC_POSITIONS crystal
Ni 0.8880 0.8542 0.9443
Ni 0.1120 0.1458 0.0557
Ni 0.8880 0.6458 0.4443
Ni 0.1120 0.3542 0.5557
Hf 0.9998 0.4997 0.7899
Hf 0.0002 0.9997 0.7101
Hf 0.0002 0.5003 0.2101
Hf 0.9998 0.0003 0.2899
Te 0.6956 0.7498 0.0980
Te 0.7892 0.2608 0.3952
Te 0.2108 0.7392 0.6048
Te 0.3044 0.2502 0.9020
Te 0.2108 0.7608 0.1048
Te 0.3044 0.2498 0.4020
Te 0.7892 0.2392 0.8952
Te 0.6956 0.7502 0.5980
```

## Properties
Total moment, μB/cell: 0.00
E_tot, eV per atom: -6.139

A geometry-optimized HfNiTe2 structure. Source: OQMD, functional PBE-GGA. Values from VASP.

Quantum ESPRESSO input file:
```
&SYSTEM
  ibrav = 0, nat = 4, ntyp = 3
/
ATOMIC_SPECIES
Te 127.60 Te.upf
Hf 178.49 Hf.upf
Ni 58.69 Ni.upf
CELL_PARAMETERS angstrom
1.5348 -2.9191 -3.6597
1.6207 -4.5458 0.9897
-2.6848 -3.9141 -1.3198
ATOMIC_POSITIONS crystal
Te 0.0000 0.0000 0.0000
Te 0.7500 0.7500 0.7500
Hf 0.5000 0.5000 0.5000
Ni 0.2500 0.2500 0.2500
```

## Properties
Total moment, μB/cell: 0.02
E_tot, eV per atom: -5.196

A geometry-optimized Hf2NiTe2 structure. Source: OQMD, functional PBE-GGA. Values from VASP.

Quantum ESPRESSO input file:
```
&SYSTEM
  ibrav = 0, nat = 5, ntyp = 3
/
ATOMIC_SPECIES
Hf 178.49 Hf.upf
Te 127.60 Te.upf
Ni 58.69 Ni.upf
CELL_PARAMETERS angstrom
3.2559 -3.2559 0.0000
3.2559 3.2559 0.0000
-3.2559 0.0000 6.1395
ATOMIC_POSITIONS crystal
Hf 0.7500 0.2500 0.5000
Hf 0.2500 0.7500 0.5000
Te 0.3796 0.3796 0.7592
Te 0.6204 0.6204 0.2408
Ni 0.0000 0.0000 0.0000
```

## Properties
Total moment, μB/cell: 0.03
E_tot, eV per atom: -6.027